Record 1
An optimized crystal structure of PrTm4Sn4, computed with GGA-PBE.

Unit cell a=9.850 b=9.850 c=6.055 alpha=90.00 beta=90.00 gamma=90.00
Positions (direct):
1 Pr 0.250 0.250 0.250
2 Pr 0.750 0.750 0.750
3 Tm 0.103 0.643 0.143
4 Tm 0.143 0.897 0.643
5 Tm 0.357 0.603 0.643
6 Tm 0.397 0.857 0.143
7 Tm 0.603 0.143 0.857
8 Tm 0.643 0.397 0.357
9 Tm 0.857 0.103 0.357
10 Tm 0.897 0.357 0.857
11 Sn 0.044 0.605 0.656
12 Sn 0.105 0.956 0.156
13 Sn 0.395 0.544 0.156
14 Sn 0.456 0.895 0.656
15 Sn 0.544 0.105 0.344
16 Sn 0.605 0.456 0.844
17 Sn 0.895 0.044 0.844
18 Sn 0.956 0.395 0.344

## Properties
**Energy relative to the elements**: -0.3993 eV per atom
**Uncorrected energy**: -42.3 eV per formula unit
**N(E_F)**: 17.08 states/eV/cell
**Size of the total moment**: 0.000 μB per formula unit

Record 2
An optimized crystal structure of PrTmSn2, computed with GGA-PBE.

Unit cell a=4.338 b=6.228 c=8.523 alpha=90.00 beta=90.00 gamma=90.00
Positions (direct):
1 Pr 0.000 0.129 0.000
2 Pr 0.000 0.871 0.500
3 Tm 0.500 0.375 0.635
4 Tm 0.500 0.625 0.135
5 Sn 0.000 0.404 0.360
6 Sn 0.000 0.596 0.860
7 Sn 0.500 0.092 0.274
8 Sn 0.500 0.908 0.774

## Properties
**Energy relative to the elements**: -0.6944 eV per atom
**ΔE to the lowest computed polymorph**: 0.010 eV/atom
**Uncorrected energy**: -20.0 eV per formula unit
**N(E_F)**: 5.23 states/eV/cell
**Size of the total moment**: 0.000 μB per formula unit

Record 3
An optimized crystal structure of PrTm5Sn2, computed with GGA-PBE.

Unit cell a=4.497 b=9.525 c=11.414 alpha=90.00 beta=90.00 gamma=90.00
Positions (direct):
1 Pr 0.000 0.000 0.000
2 Pr 0.500 0.500 0.500
3 Tm 0.000 0.188 0.349
4 Tm 0.000 0.188 0.651
5 Tm 0.000 0.500 0.000
6 Tm 0.000 0.812 0.349
7 Tm 0.000 0.812 0.651
8 Tm 0.500 0.000 0.500
9 Tm 0.500 0.312 0.151
10 Tm 0.500 0.312 0.849
11 Tm 0.500 0.688 0.151
12 Tm 0.500 0.688 0.849
13 Sn 0.000 0.500 0.279
14 Sn 0.000 0.500 0.721
15 Sn 0.500 0.000 0.221
16 Sn 0.500 0.000 0.779

## Properties
**Energy relative to the elements**: -0.2986 eV per atom
**Uncorrected energy**: -37.5 eV per formula unit
**N(E_F)**: 23.26 states/eV/cell
**Size of the total moment**: 0.737 μB per formula unit

Record 4
An optimized crystal structure of Pr3Tm2Sn4, computed with GGA-PBE.

Unit cell a=6.313 b=6.313 c=9.980 alpha=93.59 beta=93.59 gamma=44.35
Positions (direct):
1 Pr 0.000 0.000 0.000
2 Pr 0.370 0.370 0.599
3 Pr 0.630 0.630 0.401
4 Tm 0.319 0.319 0.218
5 Tm 0.681 0.681 0.782
6 Sn 0.077 0.077 0.629
7 Sn 0.324 0.324 0.909
8 Sn 0.676 0.676 0.091
9 Sn 0.923 0.923 0.371

## Properties
**Energy relative to the elements**: -0.5965 eV per atom
**Uncorrected energy**: -44.7 eV per formula unit
**N(E_F)**: 8.32 states/eV/cell
**Size of the total moment**: 0.325 μB per formula unit

Record 5
An optimized crystal structure of PrTm2Sn, computed with GGA-PBE.

Unit cell a=4.859 b=4.859 c=4.804 alpha=90.00 beta=90.00 gamma=90.00
Positions (direct):
1 Pr 0.000 0.000 0.000
2 Tm 0.000 0.500 0.500
3 Tm 0.500 0.000 0.500
4 Sn 0.500 0.500 0.000

## Properties
**Energy relative to the elements**: -0.3988 eV per atom
**ΔE to the lowest computed polymorph**: 0.027 eV/atom
**Uncorrected energy**: -19.3 eV per formula unit
**N(E_F)**: 5.26 states/eV/cell
**Size of the total moment**: 0.002 μB per formula unit

Record 6
An optimized crystal structure of PrTm2Sn, computed with GGA-PBE.

Unit cell a=7.665 b=7.665 c=7.665 alpha=90.00 beta=90.00 gamma=90.00
Positions (direct):
1 Pr 0.000 0.000 0.000
2 Pr 0.000 0.500 0.500
3 Pr 0.500 0.000 0.500
4 Pr 0.500 0.500 0.000
5 Tm 0.250 0.250 0.250
6 Tm 0.250 0.250 0.750
7 Tm 0.250 0.750 0.250
8 Tm 0.250 0.750 0.750
9 Tm 0.750 0.250 0.250
10 Tm 0.750 0.250 0.750
11 Tm 0.750 0.750 0.250
12 Tm 0.750 0.750 0.750
13 Sn 0.000 0.000 0.500
14 Sn 0.000 0.500 0.000
15 Sn 0.500 0.000 0.000
16 Sn 0.500 0.500 0.500

## Properties
**Energy relative to the elements**: -0.1777 eV per atom
**ΔE to the lowest computed polymorph**: 0.248 eV/atom
**Uncorrected energy**: -18.4 eV per formula unit
**N(E_F)**: 19.08 states/eV/cell
**Size of the total moment**: 1.388 μB per formula unit

Record 7
An optimized crystal structure of PrTmSn2, computed with GGA-PBE.

Unit cell a=4.354 b=4.577 c=11.570 alpha=90.00 beta=90.00 gamma=90.00
Positions (direct):
1 Pr 0.000 0.000 0.000
2 Pr 0.000 0.500 0.500
3 Tm 0.500 0.000 0.731
4 Tm 0.500 0.500 0.231
5 Sn 0.000 0.000 0.273
6 Sn 0.000 0.500 0.773
7 Sn 0.500 0.000 0.457
8 Sn 0.500 0.500 0.957

## Properties
**Energy relative to the elements**: -0.7048 eV per atom
**ΔE to the lowest computed polymorph**: 0.000 eV/atom
**Uncorrected energy**: -20.1 eV per formula unit
**N(E_F)**: 5.86 states/eV/cell
**Size of the total moment**: 0.000 μB per formula unit

Record 8
An optimized crystal structure of PrTmSn2, computed with GGA-PBE.

Unit cell a=3.501 b=3.501 c=8.946 alpha=90.00 beta=90.00 gamma=90.00
Positions (direct):
1 Pr 0.000 0.000 0.000
2 Tm 0.000 0.000 0.500
3 Sn 0.500 0.500 0.263
4 Sn 0.500 0.500 0.737

## Properties
**Energy relative to the elements**: -0.6242 eV per atom
**ΔE to the lowest computed polymorph**: 0.081 eV/atom
**Uncorrected energy**: -19.8 eV per formula unit
**N(E_F)**: 3.29 states/eV/cell
**Size of the total moment**: 0.000 μB per formula unit

Record 9
An optimized crystal structure of PrTm5Sn6, computed with GGA-PBE.

Unit cell a=7.568 b=7.568 c=8.455 alpha=94.74 beta=94.74 gamma=135.51
Positions (direct):
1 Pr 0.000 0.000 0.000
2 Tm 0.000 0.000 0.500
3 Tm 0.328 0.672 0.000
4 Tm 0.340 0.660 0.500
5 Tm 0.660 0.340 0.500
6 Tm 0.672 0.328 0.000
7 Sn 0.164 0.823 0.259
8 Sn 0.177 0.836 0.741
9 Sn 0.474 0.474 0.755
10 Sn 0.526 0.526 0.245
11 Sn 0.823 0.164 0.259
12 Sn 0.836 0.177 0.741

## Properties
**Energy relative to the elements**: -0.5895 eV per atom
**Uncorrected energy**: -58.2 eV per formula unit
**N(E_F)**: 6.27 states/eV/cell
**Size of the total moment**: 0.000 μB per formula unit

Record 10
An optimized crystal structure of Pr3Tm2Sn2, computed with GGA-PBE.

Unit cell a=17.488 b=3.511 c=7.917 alpha=90.00 beta=115.12 gamma=90.00
Positions (direct):
1 Pr 0.000 0.000 0.000
2 Pr 0.221 0.000 0.214
3 Pr 0.279 0.500 0.786
4 Pr 0.500 0.500 0.000
5 Pr 0.721 0.500 0.214
6 Pr 0.779 0.000 0.786
7 Tm 0.087 0.000 0.699
8 Tm 0.413 0.500 0.301
9 Tm 0.587 0.500 0.699
10 Tm 0.913 0.000 0.301
11 Sn 0.101 0.500 0.385
12 Sn 0.399 0.000 0.615
13 Sn 0.601 0.000 0.385
14 Sn 0.899 0.500 0.615

## Properties
**Energy relative to the elements**: -0.2930 eV per atom
**Uncorrected energy**: -33.3 eV per formula unit
**N(E_F)**: 16.34 states/eV/cell
**Size of the total moment**: 0.001 μB per formula unit

Record 11
An optimized crystal structure of Pr7TmSn4, computed with GGA-PBE.

Unit cell a=7.775 b=7.775 c=11.209 alpha=122.05 beta=122.05 gamma=44.82
Positions (direct):
1 Pr 0.000 0.000 0.000
2 Pr 0.189 0.189 0.618
3 Pr 0.292 0.292 0.110
4 Pr 0.442 0.442 0.630
5 Pr 0.558 0.558 0.370
6 Pr 0.708 0.708 0.890
7 Pr 0.811 0.811 0.382
8 Tm 0.500 0.500 0.000
9 Sn 0.062 0.062 0.762
10 Sn 0.197 0.197 0.328
11 Sn 0.803 0.803 0.672
12 Sn 0.938 0.938 0.238

## Properties
**Energy relative to the elements**: -0.3078 eV per atom
**Uncorrected energy**: -57.6 eV per formula unit
**N(E_F)**: 10.32 states/eV/cell
**Size of the total moment**: 0.000 μB per formula unit

Record 12
An optimized crystal structure of Pr2TmSn9, computed with GGA-PBE.

Unit cell a=4.740 b=4.740 c=14.412 alpha=90.00 beta=90.00 gamma=90.00
Positions (direct):
1 Pr 0.000 0.000 0.169
2 Pr 0.000 0.000 0.831
3 Tm 0.000 0.000 0.500
4 Sn 0.000 0.500 0.000
5 Sn 0.000 0.500 0.340
6 Sn 0.000 0.500 0.660
7 Sn 0.500 0.000 0.000
8 Sn 0.500 0.000 0.340
9 Sn 0.500 0.000 0.660
10 Sn 0.500 0.500 0.170
11 Sn 0.500 0.500 0.500
12 Sn 0.500 0.500 0.830

## Properties
**Energy relative to the elements**: -0.4590 eV per atom
**Uncorrected energy**: -55.6 eV per formula unit
**N(E_F)**: 8.14 states/eV/cell
**Size of the total moment**: 0.000 μB per formula unit